A relaxed structure of MnZnTe2, computed with PBE.

Values from the calculation:
E_tot: -4.286 eV/atom
ΔE_f (raw): -104 meV per atom
total magnetic moment: 4.729 μB/f.u.

Unit cell a=3.9326 b=3.9326 c=6.6331 alpha=90.00 beta=90.00 gamma=90.00
With the nearest neighbours (Å) after each atom.
Space group P4mm (No. 99)
Inequivalent atoms, fractional coordinates:
Mn 0.0000 0.0000 0.0000 x1  5 Te 2.76-2.86
Zn 0.5000 0.5000 0.6790 x1  5 Te 2.78-2.85
Te 0.0000 0.0000 0.5834 x1  1 Mn 2.76, 4 Zn 2.85
Te 0.5000 0.5000 0.0984 x1  1 Zn 2.78, 4 Mn 2.86